Entry 1:
Compound: Cs2TcBr6O
Source: Alexandria
Functional: GGA-PBE
Structure: optimized geometry

Values from the calculation:
electronic total energy	-3.4268	eV/atom
crystal system	tetragonal

abc: 7.589 7.589 11.762
angles: 90.00 90.00 90.00
Space group I4/mmm (No. 139)
Unique sites:
Cs (0.000, 0.500, 0.250) (multiplicity 4)
Tc (0.000, 0.000, 0.000) (multiplicity 2)
Br (0.000, 0.000, 0.216) (multiplicity 4)
Br (0.238, 0.238, 0.000) (multiplicity 8)
O (0.000, 0.000, 0.500) (multiplicity 2)


Entry 2:
Compound: HgTeW2
Source: Alexandria
Functional: GGA-PBE
Structure: optimized geometry

Values from the calculation:
crystal system	cubic
ΔE to the lowest computed polymorph	0.579	eV/atom

abc: 6.636 6.636 6.636
angles: 90.00 90.00 90.00
Space group Fm-3m (No. 225)
Unique sites:
Hg (0.000, 0.000, 0.000) (multiplicity 4)
Te (0.000, 0.000, 0.500) (multiplicity 4)
W (0.250, 0.250, 0.250) (multiplicity 8)


Number 1: size of the total moment 5.000 μB per formula unit. Number 2: size of the total moment 0.000 μB per formula unit.